# 1
Below is crystalline NdScAgAu at its relaxed geometry, with properties calculated at the PBE level.

Computed properties:
VASP energy: -4.78 eV/atom
spin magnetization: 0.001 Bohr magnetons per cell

```
NdScAgAu
1.0
0.0000 3.5917 3.5917
3.5917 0.0000 3.5917
3.5917 3.5917 0.0000
Nd Sc Ag Au
1 1 1 1
direct
0.0000 0.0000 0.0000
0.5000 0.5000 0.5000
0.7500 0.7500 0.7500
0.2500 0.2500 0.2500
```


# 2
Below is crystalline NdScAgAu at its relaxed geometry, with properties calculated at the PBE level.

Computed properties:
VASP energy: -4.83 eV/atom
spin magnetization: 0.000 Bohr magnetons per cell

```
NdScAgAu
1.0
3.5152 0.0000 0.0000
0.0000 3.5152 0.0000
0.0000 0.0000 7.3707
Nd Sc Ag Au
1 1 1 1
direct
0.0000 0.0000 0.0000
0.0000 0.0000 0.5117
0.5000 0.5000 0.2922
0.5000 0.5000 0.7152
```


# 3
Below is crystalline Nd2Si4AgAu3 at its relaxed geometry, with properties calculated at the PBE level.

Computed properties:
spin magnetization: 0.000 Bohr magnetons per cell
formation energy without anion corrections: -509 kJ/mol of formula units

```
Nd2Si4AgAu3
1.0
4.3575 0.0000 0.0000
0.0000 4.3575 0.0000
0.0000 0.0000 10.3016
Nd Si Ag Au
2 4 1 3
direct
0.0000 0.5000 0.2471
0.5000 0.0000 0.7529
0.0000 0.0000 0.0000
0.0000 0.5000 0.6355
0.5000 0.0000 0.3645
0.5000 0.5000 0.0000
0.0000 0.0000 0.5000
0.0000 0.5000 0.8748
0.5000 0.0000 0.1252
0.5000 0.5000 0.5000
```